VASP calculation (GGA-PBE) on crystalline Ho8Er3Pu at its relaxed geometry.

Geometry as POSCAR:
```
Ho8Er3Pu
1.0
-5.041 3.438 6.002
-2.075 -7.057 -3.803
-0.056 -7.447 4.219
Ho Er Pu
8 3 1
Cartesian
-5.693 -10.033 4.247
-5.626 -1.488 3.778
-4.361 -4.249 3.326
-4.190 0.815 5.398
-2.952 -7.878 -1.248
-2.825 -8.705 4.162
-1.532 -7.689 1.570
-1.509 -5.037 4.439
-4.860 -6.535 5.764
-2.312 -4.531 0.654
-2.549 -2.004 5.110
0.000 0.000 0.000
```

- uncorrected energy (eV per atom) = -4.78
- symmetry = I-42m (121)
- E_form (eV/atom) = 0.609

***

VASP calculation (GGA-PBE) on crystalline La3Pr2NdSm6 at its relaxed geometry.

Geometry as POSCAR:
```
La3Pr2NdSm6
1.0
6.391 -0.004 0.004
-3.197 5.533 0.004
-1.077 -1.864 11.929
Nd La Sm Pr
1 3 6 2
Cartesian
0.000 0.000 0.000
-2.136 3.678 5.968
4.253 -0.013 5.968
1.058 1.832 5.968
-0.009 3.673 8.968
3.185 1.828 8.968
2.126 3.681 2.973
-1.069 1.837 2.969
2.125 -0.008 2.969
-0.009 -0.016 8.964
-0.001 3.687 0.004
3.195 1.842 0.004
```

- uncorrected energy (eV per atom) = -4.77
- symmetry = C2/m (12)
- E_form (eV/atom) = 0.012

***

VASP calculation (GGA-PBE) on crystalline BaZr2Tl2 at its relaxed geometry.

Geometry as POSCAR:
```
BaZr2Tl2
1.0
-0.243 -8.034 4.408
7.339 -2.811 -4.720
1.938 1.202 2.298
Zr Tl Ba
4 4 2
Cartesian
0.726 -5.312 2.167
4.332 -8.816 0.959
2.764 -2.029 -1.270
6.370 -5.534 -2.479
2.171 -2.505 1.760
3.158 -6.946 3.252
5.877 -2.697 -1.266
6.864 -7.139 0.226
3.548 -5.423 -0.156
0.000 0.000 0.000
```

- uncorrected energy (eV per atom) = -4.73
- symmetry = P4/mbm (127)
- E_form (eV/atom) = 0.023

***

VASP calculation (GGA-PBE) on crystalline MgHgNF2 at its relaxed geometry.

Geometry as POSCAR:
```
MgHgNF2
1.0
3.710 0.000 0.000
0.000 3.710 0.000
0.000 0.000 5.129
Hg F N Mg
1 2 1 1
Cartesian
1.855 1.855 2.565
1.855 0.000 0.000
0.000 1.855 0.000
0.000 0.000 2.565
0.000 0.000 0.000
```

- uncorrected energy (eV per atom) = -3.89
- symmetry = P4/mmm (123)

***

VASP calculation (GGA-PBE) on crystalline La2Pm2Al4Cu at its relaxed geometry.

Geometry as POSCAR:
```
La2Pm2Al4Cu
1.0
6.746 0.182 0.263
-3.078 6.005 -0.263
-3.078 -2.356 5.530
La Pm Cu Al
2 2 1 4
Cartesian
0.295 -0.175 4.213
0.295 4.006 1.317
-1.931 1.145 1.652
-4.225 2.504 3.614
0.000 0.000 0.000
1.702 0.931 1.344
-1.112 2.900 4.186
-3.078 4.065 1.081
-3.078 -0.416 4.186
```

- uncorrected energy (eV per atom) = -4.51
- symmetry = I4/mmm (139)
- E_form (eV/atom) = -0.238

***

VASP calculation (GGA-PBE) on crystalline PrHo12Sc7 at its relaxed geometry.

Geometry as POSCAR:
```
PrHo12Sc7
1.0
8.935 0.000 -3.159
-4.467 7.738 -3.159
0.000 0.000 9.477
Ho Sc Pr
12 7 1
Cartesian
5.379 2.053 -3.159
4.467 3.632 3.159
3.282 5.685 -0.194
2.371 0.000 6.124
7.749 2.053 2.965
2.097 7.738 -2.965
3.556 2.053 0.000
0.000 4.106 0.000
-0.911 5.685 6.318
-3.282 5.685 0.194
0.911 5.685 3.159
1.185 2.053 3.353
4.467 0.000 -1.579
0.000 0.000 4.738
-2.234 3.869 3.159
-2.234 3.869 -1.579
2.234 3.869 -3.159
4.467 0.000 3.159
2.234 3.869 1.579
0.000 0.000 0.000
```

- uncorrected energy (eV per atom) = -4.53
- symmetry = Im-3m (229)
- E_form (eV/atom) = 0.671

***

VASP calculation (GGA-PBE) on crystalline Tb14PrPu at its relaxed geometry.

Geometry as POSCAR:
```
Tb14PrPu
1.0
7.070 0.949 0.000
-0.949 7.070 0.000
0.000 0.000 10.034
Tb Pu Pr
14 1 1
Cartesian
5.593 5.248 0.000
2.532 1.239 5.017
2.058 4.774 5.017
6.067 1.714 5.017
0.512 2.749 2.503
4.084 3.228 7.531
0.033 6.321 2.502
3.604 6.800 7.531
0.512 2.749 7.531
4.084 3.228 2.503
0.033 6.321 7.532
5.594 5.249 5.017
2.533 1.240 0.000
3.604 6.800 2.503
6.068 1.713 0.000
2.058 4.775 0.000
```

- uncorrected energy (eV per atom) = -5.21
- symmetry = P4/mmm (123)
- E_form (eV/atom) = 0.039

***

VASP calculation (GGA-PBE) on crystalline CrInRe2 at its relaxed geometry.

Geometry as POSCAR:
```
CrInRe2
1.0
3.940 0.000 0.000
0.000 2.854 0.014
0.000 2.822 5.699
Cr In Re
1 1 2
Cartesian
0.000 2.832 2.620
1.970 4.256 4.248
0.000 2.853 0.275
1.970 1.428 1.441
```

- uncorrected energy (eV per atom) = -8.93
- symmetry = Pm (6)
- E_form (eV/atom) = 0.383

***

VASP calculation (GGA-PBE) on crystalline SrBe2Mo at its relaxed geometry.

Geometry as POSCAR:
```
SrBe2Mo
1.0
-0.468 -5.969 -4.184
-0.625 0.558 4.722
-2.620 -0.933 -0.224
Mo Be Sr
1 2 1
Cartesian
-1.622 -0.188 2.249
0.000 0.000 0.000
-1.544 -3.451 -2.204
-0.546 -2.705 0.269
```

- uncorrected energy (eV per atom) = -4.23
- symmetry = P-1 (2)
- E_form (eV/atom) = 0.761

***

VASP calculation (GGA-PBE) on crystalline Tb2TmGa6 at its relaxed geometry.

Geometry as POSCAR:
```
Tb2TmGa6
1.0
-1.601 -1.962 -2.867
6.479 0.120 -3.701
-1.518 -5.607 4.685
Ga Tb Tm
6 2 1
Cartesian
-1.305 -2.845 0.124
0.848 -2.805 -1.106
2.007 -6.508 0.781
-1.814 -4.724 1.694
2.511 -4.644 -0.777
1.353 -0.941 -2.664
2.212 -3.751 -3.772
1.148 -3.698 1.890
-1.518 -5.607 4.685
```

- uncorrected energy (eV per atom) = -4.17
- symmetry = P6/mmm (191)
- E_form (eV/atom) = -0.627

***

VASP calculation (GGA-PBE) on crystalline ReSiAg at its relaxed geometry.

Geometry as POSCAR:
```
ReSiAg
1.0
-3.942 1.265 5.668
-1.527 0.146 6.598
-0.194 2.803 0.240
Re Ag Si
1 1 1
Cartesian
-3.798 1.852 8.457
-5.434 1.420 12.187
-1.899 2.353 4.127
```

- uncorrected energy (eV per atom) = -6.48
- symmetry = Fmm2 (42)

***

VASP calculation (GGA-PBE) on crystalline KPbO2 at its relaxed geometry.

Geometry as POSCAR:
```
KPbO2
1.0
-0.439 6.016 1.797
-8.203 -1.712 -0.287
5.317 -2.420 5.673
O K Pb
8 4 4
Cartesian
0.457 1.379 5.797
-1.226 -0.484 3.623
-4.062 -1.844 3.641
-3.781 0.506 1.386
0.738 3.729 3.541
-4.072 0.946 5.219
0.747 0.938 1.963
-2.099 2.369 3.559
2.130 -2.174 4.277
2.915 0.385 6.440
-5.454 4.058 2.905
-6.240 1.499 0.743
-0.530 -0.887 1.450
-2.794 2.771 5.732
-0.010 1.666 3.803
-3.314 0.218 3.379
```

- uncorrected energy (eV per atom) = -4.88
- symmetry = P-1 (2)

***

- What is the uncorrected energy in the sixth record?
  -4.53 eV per atom

***

- The highest uncorrected energy belongs to which entry?
  MgHgNF2

***

- What is the formula in the third record?
  BaZr2Tl2

***

Please write out number 7 again, unchanged.
VASP calculation (GGA-PBE) on crystalline Tb14PrPu at its relaxed geometry.

Geometry as POSCAR:
```
Tb14PrPu
1.0
7.070 0.949 0.000
-0.949 7.070 0.000
0.000 0.000 10.034
Tb Pu Pr
14 1 1
Cartesian
5.593 5.248 0.000
2.532 1.239 5.017
2.058 4.774 5.017
6.067 1.714 5.017
0.512 2.749 2.503
4.084 3.228 7.531
0.033 6.321 2.502
3.604 6.800 7.531
0.512 2.749 7.531
4.084 3.228 2.503
0.033 6.321 7.532
5.594 5.249 5.017
2.533 1.240 0.000
3.604 6.800 2.503
6.068 1.713 0.000
2.058 4.775 0.000
```

- uncorrected energy (eV per atom) = -5.21
- symmetry = P4/mmm (123)
- E_form (eV/atom) = 0.039